First-principles (PBE-GGA) data for a relaxed Pa3InC4N12 crystal, as listed in Alexandria via LeMat-Bulk.

Output
size of the total moment = 0.00 μB/f.u.
uncorrected formation energy = -7.556 eV/f.u.

Cell and atoms, written as CIF:
```
data_Pa3InC4N12
_cell_length_a 10.0721
_cell_length_b 10.0721
_cell_length_c 8.5650
_cell_angle_alpha 90.00
_cell_angle_beta 90.00
_cell_angle_gamma 120.00
_symmetry_space_group_name_H-M 'R 3 2'
_symmetry_Int_Tables_number 155
_symmetry_space_group_name_Hall 'R 3 2"'
loop_
_atom_site_label
_atom_site_fract_x
_atom_site_fract_y
_atom_site_fract_z
Pa1 0.0000 0.5263 0.0000
In1 0.0000 0.0000 0.0000
C1 0.0000 0.0000 0.5000
C2 0.0000 0.4725 0.5000
N1 0.0000 0.6077 0.5000
N2 0.0000 0.8659 0.5000
N3 0.0053 0.1985 0.8344
```

First-principles (PBE-GGA) data for a relaxed Pm6In2CN crystal, as listed in Alexandria via LeMat-Bulk.

Output
size of the total moment = 0.00 μB/f.u.
uncorrected formation energy = -6.363 eV/f.u.

Cell and atoms, written as CIF:
```
data_Pm6In2CN
_cell_length_a 10.095
_cell_length_b 10.095
_cell_length_c 10.095
_cell_angle_alpha 90.00
_cell_angle_beta 90.00
_cell_angle_gamma 90.00
_symmetry_space_group_name_H-M 'F m -3 m'
_symmetry_Int_Tables_number 225
_symmetry_space_group_name_Hall '-F 4 2 3'
loop_
_atom_site_label
_atom_site_fract_x
_atom_site_fract_y
_atom_site_fract_z
Pm1 0.000 0.000 0.249
In1 0.250 0.250 0.250
C1 0.000 0.000 0.500
N1 0.000 0.000 0.000
```

First-principles (PBE-GGA) data for a relaxed Sc6In2CN crystal, as listed in Alexandria via LeMat-Bulk.

Output
size of the total moment = 0.00 μB/f.u.
uncorrected formation energy = -9.074 eV/f.u.

Cell and atoms, written as CIF:
```
data_Sc6In2CN
_cell_length_a 9.030
_cell_length_b 9.030
_cell_length_c 9.030
_cell_angle_alpha 90.00
_cell_angle_beta 90.00
_cell_angle_gamma 90.00
_symmetry_space_group_name_H-M 'F m -3 m'
_symmetry_Int_Tables_number 225
_symmetry_space_group_name_Hall '-F 4 2 3'
loop_
_atom_site_label
_atom_site_fract_x
_atom_site_fract_y
_atom_site_fract_z
Sc1 0.000 0.000 0.249
In1 0.250 0.250 0.250
C1 0.000 0.000 0.500
N1 0.000 0.000 0.000
```

First-principles (PBE-GGA) data for a relaxed InCSeN crystal, as listed in Alexandria via LeMat-Bulk.

Output
size of the total moment = 0.00 μB/f.u.
uncorrected formation energy = 0.833 eV/f.u.
distance to the lowest polymorph of the same formula = 84 meV per atom

Cell and atoms, written as CIF:
```
data_InCSeN
_cell_length_a 6.779
_cell_length_b 6.777
_cell_length_c 6.120
_cell_angle_alpha 90.00
_cell_angle_beta 123.44
_cell_angle_gamma 90.00
_symmetry_space_group_name_H-M 'C 1 m 1'
_symmetry_Int_Tables_number 8
loop_
_symmetry_equiv_pos_as_xyz
'x,y,z'
'x,-y,z'
'x+1/2,y+1/2,z'
'x+1/2,-y+1/2,z'
loop_
_atom_site_label
_atom_site_fract_x
_atom_site_fract_y
_atom_site_fract_z
In1 0.000 0.000 0.000
C1 0.358 0.000 0.713
Se1 0.028 0.500 0.067
N1 0.248 0.000 0.482
```

First-principles (PBE-GGA) data for a relaxed InCSe2N crystal, as listed in Alexandria via LeMat-Bulk.

Output
size of the total moment = 0.00 μB/f.u.
uncorrected formation energy = 2.869 eV/f.u.
distance to the lowest polymorph of the same formula = 0 meV per atom

Cell and atoms, written as CIF:
```
data_InCSe2N
_cell_length_a 6.401
_cell_length_b 6.401
_cell_length_c 2.521
_cell_angle_alpha 90.00
_cell_angle_beta 90.00
_cell_angle_gamma 90.00
_symmetry_space_group_name_H-M 'P 4/m m m'
_symmetry_Int_Tables_number 123
_symmetry_space_group_name_Hall '-P 4 2'
loop_
_atom_site_label
_atom_site_fract_x
_atom_site_fract_y
_atom_site_fract_z
In1 0.000 0.000 0.000
C1 0.500 0.500 0.500
Se1 0.000 0.500 0.500
N1 0.500 0.500 0.000
```

First-principles (PBE-GGA) data for a relaxed InCSe2N crystal, as listed in Alexandria via LeMat-Bulk.

Output
size of the total moment = 2.01 μB/f.u.
uncorrected formation energy = 11.153 eV/f.u.
distance to the lowest polymorph of the same formula = 1657 meV per atom

Cell and atoms, written as CIF:
```
data_InCSe2N
_cell_length_a 5.437
_cell_length_b 5.437
_cell_length_c 4.175
_cell_angle_alpha 90.00
_cell_angle_beta 90.00
_cell_angle_gamma 90.00
_symmetry_space_group_name_H-M 'P 4/m m m'
_symmetry_Int_Tables_number 123
_symmetry_space_group_name_Hall '-P 4 2'
loop_
_atom_site_label
_atom_site_fract_x
_atom_site_fract_y
_atom_site_fract_z
In1 0.000 0.000 0.000
C1 0.500 0.500 0.500
Se1 0.000 0.500 0.000
N1 0.000 0.000 0.500
```

First-principles (PBE-GGA) data for a relaxed InCSeN crystal, as listed in Alexandria via LeMat-Bulk.

Output
size of the total moment = 0.00 μB/f.u.
uncorrected formation energy = 0.508 eV/f.u.
distance to the lowest polymorph of the same formula = 3 meV per atom

Cell and atoms, written as CIF:
```
data_InCSeN
_cell_length_a 4.1526
_cell_length_b 4.1526
_cell_length_c 20.4878
_cell_angle_alpha 90.00
_cell_angle_beta 90.00
_cell_angle_gamma 120.00
_symmetry_space_group_name_H-M 'R 3 m'
_symmetry_Int_Tables_number 160
_symmetry_space_group_name_Hall 'R 3 -2"'
loop_
_atom_site_label
_atom_site_fract_x
_atom_site_fract_y
_atom_site_fract_z
In1 0.0000 0.0000 0.0000
C1 0.0000 0.0000 0.1054
Se1 0.0000 0.0000 0.6119
N1 0.0000 0.0000 0.1625
```

First-principles (PBE-GGA) data for a relaxed InCSeN crystal, as listed in Alexandria via LeMat-Bulk.

Output
size of the total moment = 0.00 μB/f.u.
uncorrected formation energy = 0.833 eV/f.u.
distance to the lowest polymorph of the same formula = 84 meV per atom

Cell and atoms, written as CIF:
```
data_InCSeN
_cell_length_a 4.1975
_cell_length_b 4.1975
_cell_length_c 19.9290
_cell_angle_alpha 90.00
_cell_angle_beta 90.00
_cell_angle_gamma 120.00
_symmetry_space_group_name_H-M 'R 3 m'
_symmetry_Int_Tables_number 160
_symmetry_space_group_name_Hall 'R 3 -2"'
loop_
_atom_site_label
_atom_site_fract_x
_atom_site_fract_y
_atom_site_fract_z
In1 0.0000 0.0000 0.0000
C1 0.0000 0.0000 0.1652
Se1 0.0000 0.0000 0.6132
N1 0.0000 0.0000 0.1059
```

Values of V, in order: 752.48; 1028.71; 736.31; 234.63; 103.32; 123.41; 305.97; 304.14, all in Å³/cell.